1.
Here is a relaxed structure of KIn3Ni from the Alexandria database. Energies are from PBE-GGA.

Calculated values
DFT formation energy	-84.8	meV per atom
E above lowest polymorph	0.0	meV per atom
final energy	-15.52	eV per cell

a b c (Å): 5.112 5.112 5.112
angles (deg): 90.00 90.00 90.00
Space group Pm-3m (No. 221)
Unique sites:
K: 0.000 0.000 0.000 x1
In: 0.000 0.500 0.500 x3
Ni: 0.500 0.500 0.500 x1

2.
Here is a relaxed structure of K2InNi2 from the Alexandria database. Energies are from PBE-GGA.

Calculated values
DFT formation energy	852.5	meV per atom
E above lowest polymorph	525.2	meV per atom
final energy	-24.47	eV per cell

a b c (Å): 9.386 9.386 2.873
angles (deg): 90.00 90.00 90.00
Space group P4/mbm (No. 127)
Unique sites:
K: 0.129 0.371 0.000 x4
In: 0.000 0.000 0.000 x2
Ni: 0.174 0.674 0.500 x4